# 1
Computed, not measured: FeCuCl after structural relaxation at the GGA-PBE level of DFT.

Calculated values
* formation energy without anion corrections: 0.613 eV/atom
* final energy: -12.568 eV/cell
* distance to the lowest polymorph of the same formula: 444 meV/atom
* SG: No. 216
* Fermi-level density of states: 4.01 states/eV/cell

Unit cell a=4.1005 b=4.1005 c=4.1005 alpha=60.00 beta=60.00 gamma=60.00
Positions (direct):
Fe1 0.7500 0.7500 0.7500
Cl1 0.0000 0.0000 0.0000
Cu1 0.5000 0.5000 0.5000

# 2
Computed, not measured: FeCu2Cl after structural relaxation at the GGA-PBE level of DFT.

Calculated values
* formation energy without anion corrections: 0.596 eV/atom
* final energy: -16.116 eV/cell
* distance to the lowest polymorph of the same formula: 477 meV/atom
* SG: No. 216
* Fermi-level density of states: 3.01 states/eV/cell

Unit cell a=4.2906 b=4.2906 c=4.2906 alpha=60.00 beta=60.00 gamma=60.00
Positions (direct):
Cu1 0.2500 0.2500 0.2500
Cu2 0.0000 0.0000 0.0000
Cl1 0.5000 0.5000 0.5000
Fe1 0.7500 0.7500 0.7500

# 3
Computed, not measured: FeCu2Cl after structural relaxation at the GGA-PBE level of DFT.

Calculated values
* formation energy without anion corrections: 0.416 eV/atom
* final energy: -16.836 eV/cell
* distance to the lowest polymorph of the same formula: 297 meV/atom
* SG: No. 12
* Fermi-level density of states: 2.18 states/eV/cell

Unit cell a=5.7135 b=5.7135 c=4.0158 alpha=111.50 beta=111.50 gamma=29.33
Positions (direct):
Cu1 0.5069 0.5069 0.5078
Cl1 0.7500 0.7500 0.7500
Cu2 0.9931 0.9931 0.9922
Fe1 0.2500 0.2500 0.2500

# 4
Computed, not measured: FeCu3Cl after structural relaxation at the GGA-PBE level of DFT.

Calculated values
* formation energy without anion corrections: 1.005 eV/atom
* final energy: -17.572 eV/cell
* distance to the lowest polymorph of the same formula: 0 meV/atom
* SG: No. 221
* Fermi-level density of states: 3.55 states/eV/cell

Unit cell a=4.5689 b=4.5689 c=4.5689 alpha=90.00 beta=90.00 gamma=90.00
Positions (direct):
Cl1 0.5000 0.5000 0.5000
Cu1 0.0000 0.0000 0.5000
Cu2 0.5000 0.0000 0.0000
Fe1 0.0000 0.0000 0.0000
Cu3 0.0000 0.5000 0.0000

# 5
Computed, not measured: FeCuCl2 after structural relaxation at the GGA-PBE level of DFT.

Calculated values
* formation energy without anion corrections: -0.089 eV/atom
* final energy: -16.606 eV/cell
* distance to the lowest polymorph of the same formula: 132 meV/atom
* SG: No. 166
* Fermi-level density of states: 2.30 states/eV/cell

Unit cell a=7.7338 b=7.7338 c=7.7338 alpha=25.32 beta=25.32 gamma=25.32
Positions (direct):
Cu1 0.0000 0.0000 0.0000
Cl1 0.0990 0.0990 0.0990
Fe1 0.5000 0.5000 0.5000
Cl2 0.9010 0.9010 0.9010

# 6
Computed, not measured: FeCuCl2 after structural relaxation at the GGA-PBE level of DFT.

Calculated values
* formation energy without anion corrections: 0.220 eV/atom
* final energy: -15.371 eV/cell
* distance to the lowest polymorph of the same formula: 440 meV/atom
* SG: No. 123
* Fermi-level density of states: 1.34 states/eV/cell

Unit cell a=4.4961 b=4.4961 c=3.1803 alpha=90.00 beta=90.00 gamma=90.00
Positions (direct):
Fe1 0.0000 0.5000 0.5000
Cu1 0.5000 0.0000 0.5000
Cl1 0.0000 0.0000 0.0000
Cl2 0.5000 0.5000 0.0000

# 7
Computed, not measured: FeCuCl2 after structural relaxation at the GGA-PBE level of DFT.

Calculated values
* formation energy without anion corrections: -0.096 eV/atom
* final energy: -16.636 eV/cell
* distance to the lowest polymorph of the same formula: 124 meV/atom
* SG: No. 35
* Fermi-level density of states: 1.65 states/eV/cell

Unit cell a=3.2938 b=3.2938 c=7.7354 alpha=90.00 beta=90.00 gamma=110.26
Positions (direct):
Cl1 0.0000 0.0000 0.9101
Fe1 0.5000 0.5000 0.7225
Cu1 0.0000 0.0000 0.5153
Cl2 0.5000 0.5000 0.3522

# 8
Computed, not measured: FeCuCl after structural relaxation at the GGA-PBE level of DFT.

Calculated values
* formation energy without anion corrections: 0.269 eV/atom
* final energy: -13.600 eV/cell
* distance to the lowest polymorph of the same formula: 100 meV/atom
* SG: No. 42
* Fermi-level density of states: 1.89 states/eV/cell

Unit cell a=6.3927 b=6.0746 c=2.9766 alpha=82.22 beta=70.31 gamma=27.47
Positions (direct):
Fe1 0.6653 0.6653 0.3347
Cu1 0.3259 0.3259 0.6741
Cl1 0.0088 0.0088 0.9912

# 9
Computed, not measured: FeCuCl4 after structural relaxation at the GGA-PBE level of DFT.

Calculated values
* formation energy without anion corrections: 1.044 eV/atom
* final energy: -13.683 eV/cell
* SG: No. 216
* Fermi-level density of states: 10.23 states/eV/cell

Unit cell a=5.7949 b=5.7949 c=5.7949 alpha=60.00 beta=60.00 gamma=60.00
Positions (direct):
Cl1 0.3749 0.8752 0.3749
Fe1 0.0000 0.0000 0.0000
Cl2 0.8752 0.3749 0.3749
Cl3 0.3749 0.3749 0.8752
Cu1 0.7500 0.7500 0.7500
Cl4 0.3749 0.3749 0.3749

# 10
Computed, not measured: FeCuCl2 after structural relaxation at the GGA-PBE level of DFT.

Calculated values
* formation energy without anion corrections: 0.593 eV/atom
* final energy: -13.881 eV/cell
* distance to the lowest polymorph of the same formula: 813 meV/atom
* SG: No. 216
* Fermi-level density of states: 5.87 states/eV/cell

Unit cell a=4.6175 b=4.6175 c=4.6175 alpha=60.00 beta=60.00 gamma=60.00
Positions (direct):
Cl1 0.0000 0.0000 0.0000
Cu1 0.5000 0.5000 0.5000
Fe1 0.7500 0.7500 0.7500
Cl2 0.2500 0.2500 0.2500

# 11
Computed, not measured: FeCu2Cl after structural relaxation at the GGA-PBE level of DFT.

Calculated values
* formation energy without anion corrections: 0.261 eV/atom
* final energy: -17.458 eV/cell
* distance to the lowest polymorph of the same formula: 142 meV/atom
* SG: No. 44
* Fermi-level density of states: 3.17 states/eV/cell

Unit cell a=6.3581 b=6.3581 c=6.3581 alpha=154.34 beta=144.26 gamma=44.51
Positions (direct):
Cu1 0.3362 0.8362 0.5000
Fe1 0.5220 0.5220 0.0000
Cl1 0.6850 0.1850 0.5000
Cu2 0.9569 0.9569 0.0000

# 12
Computed, not measured: Fe2CuCl6 after structural relaxation at the GGA-PBE level of DFT.

Calculated values
* formation energy without anion corrections: -0.702 eV/atom
* final energy: -76.831 eV/cell
* SG: No. 15
* Fermi-level density of states: 11.76 states/eV/cell

Unit cell a=6.2905 b=9.4206 c=9.4206 alpha=91.92 beta=74.16 gamma=74.16
Positions (direct):
Cl1 0.1230 0.1869 0.5867
Cl2 0.6230 0.5867 0.1869
Cu1 0.7500 0.7917 0.2083
Cl3 0.0626 0.7919 0.0121
Cl4 0.8300 0.6099 0.7486
Fe1 0.3473 0.1946 0.3607
Cu2 0.2500 0.2083 0.7917
Fe2 0.1527 0.6393 0.8054
Cl5 0.3300 0.7486 0.6099
Cl6 0.1700 0.3901 0.2514
Cl7 0.3770 0.4133 0.8131
Cl8 0.9374 0.2081 0.9879
Fe3 0.8473 0.3607 0.1946
Cl9 0.5626 0.0121 0.7919
Cl10 0.4374 0.9879 0.2081
Cl11 0.8770 0.8131 0.4133
Fe4 0.6527 0.8054 0.6393
Cl12 0.6700 0.2514 0.3901

# 13
Computed, not measured: FeCu2Cl after structural relaxation at the GGA-PBE level of DFT.

Calculated values
* formation energy without anion corrections: 0.516 eV/atom
* final energy: -16.436 eV/cell
* distance to the lowest polymorph of the same formula: 397 meV/atom
* SG: No. 123
* Fermi-level density of states: 4.35 states/eV/cell

Unit cell a=3.5292 b=3.5292 c=4.6492 alpha=90.00 beta=90.00 gamma=90.00
Positions (direct):
Cl1 0.0000 0.5000 0.5000
Cu1 0.5000 0.5000 0.0000
Fe1 0.5000 0.0000 0.5000
Cu2 0.0000 0.0000 0.0000

# 14
Computed, not measured: FeCu2Cl after structural relaxation at the GGA-PBE level of DFT.

Calculated values
* formation energy without anion corrections: 0.417 eV/atom
* final energy: -16.833 eV/cell
* distance to the lowest polymorph of the same formula: 298 meV/atom
* SG: No. 71
* Fermi-level density of states: 2.60 states/eV/cell

Unit cell a=5.8567 b=5.8567 c=5.8567 alpha=152.18 beta=140.11 gamma=49.33
Positions (direct):
Fe1 0.2500 0.7500 0.5000
Cu1 0.4693 0.4693 0.0000
Cl1 0.7500 0.2500 0.5000
Cu2 0.0307 0.0307 0.0000

# 15
Computed, not measured: FeCuCl after structural relaxation at the GGA-PBE level of DFT.

Calculated values
* formation energy without anion corrections: 0.248 eV/atom
* final energy: -13.661 eV/cell
* distance to the lowest polymorph of the same formula: 79 meV/atom
* SG: No. 107
* Fermi-level density of states: 2.47 states/eV/cell

Unit cell a=6.3754 b=6.3754 c=6.3754 alpha=153.68 beta=153.68 gamma=37.57
Positions (direct):
Cu1 0.2950 0.2950 0.0000
Fe1 0.6641 0.6641 0.0000
Cl1 0.0408 0.0408 0.0000

# 16
Computed, not measured: FeCuCl2 after structural relaxation at the GGA-PBE level of DFT.

Calculated values
* formation energy without anion corrections: 0.121 eV/atom
* final energy: -15.767 eV/cell
* distance to the lowest polymorph of the same formula: 341 meV/atom
* SG: No. 119
* Fermi-level density of states: 2.96 states/eV/cell

Unit cell a=7.0346 b=7.0346 c=7.0346 alpha=151.78 beta=151.78 gamma=40.33
Positions (direct):
Fe1 0.7500 0.2500 0.5000
Cl1 0.0000 0.0000 0.0000
Cu1 0.5000 0.5000 0.0000
Cl2 0.2500 0.7500 0.5000

# 17
Computed, not measured: FeCuCl6 after structural relaxation at the GGA-PBE level of DFT.

Calculated values
* formation energy without anion corrections: -0.475 eV/atom
* final energy: -27.441 eV/cell
* distance to the lowest polymorph of the same formula: 0 meV/atom
* SG: No. 166
* Fermi-level density of states: 10.08 states/eV/cell

Unit cell a=5.8663 b=7.2627 c=7.2627 alpha=66.97 beta=74.38 gamma=105.62
Positions (direct):
Fe1 0.0000 0.0000 0.0000
Cl1 0.4031 0.2590 0.7410
Cu1 0.5000 0.0000 0.0000
Cl2 0.1441 0.0000 0.2590
Cl3 0.8559 0.2590 0.0000
Cl4 0.8559 0.0000 0.7410
Cl5 0.1441 0.7410 0.0000
Cl6 0.5969 0.7410 0.2590

# 18
Computed, not measured: Fe4CuCl after structural relaxation at the GGA-PBE level of DFT.

Calculated values
* formation energy without anion corrections: 0.629 eV/atom
* final energy: -36.017 eV/cell
* SG: No. 216
* Fermi-level density of states: 4.48 states/eV/cell

Unit cell a=4.9273 b=4.9273 c=4.9273 alpha=60.00 beta=60.00 gamma=60.00
Positions (direct):
Fe1 0.3729 0.3729 0.8814
Cu1 0.0000 0.0000 0.0000
Cl1 0.7500 0.7500 0.7500
Fe2 0.3729 0.8814 0.3729
Fe3 0.8814 0.3729 0.3729
Fe4 0.3729 0.3729 0.3729

# 19
Computed, not measured: InFeCu2Cl after structural relaxation at the GGA-PBE level of DFT.

Calculated values
* formation energy without anion corrections: 1.074 eV/atom
* final energy: -15.870 eV/cell
* SG: No. 123
* Fermi-level density of states: 9.82 states/eV/cell

Unit cell a=4.8858 b=5.4358 c=4.8858 alpha=90.00 beta=90.00 gamma=90.00
Positions (direct):
Cu1 0.5000 0.0000 0.0000
Fe1 0.5000 0.5000 0.5000
Cl1 0.0000 0.5000 0.0000
Cu2 0.0000 0.0000 0.5000
In1 0.0000 0.0000 0.0000

# 20
Computed, not measured: KFeCu2Cl6 after structural relaxation at the GGA-PBE level of DFT.

Calculated values
* formation energy without anion corrections: -0.891 eV/atom
* final energy: -75.476 eV/cell
* SG: No. 15
* Fermi-level density of states: 1.96 states/eV/cell

Unit cell a=7.6766 b=8.9496 c=8.9496 alpha=82.80 beta=70.66 gamma=70.66
Positions (direct):
Fe1 0.7500 0.8194 0.1806
K1 0.7500 0.1850 0.8150
Cl1 0.4501 0.4246 0.2574
Cl2 0.4935 0.8299 0.3952
Cl3 0.3224 0.1848 0.0417
Cu1 0.1856 0.3576 0.2741
Cl4 0.0499 0.7426 0.5754
Cl5 0.9935 0.3952 0.8299
Cl6 0.5499 0.5754 0.7426
Cu2 0.8144 0.6424 0.7259
Cu3 0.6856 0.2741 0.3576
Fe2 0.2500 0.1806 0.8194
Cu4 0.3144 0.7259 0.6424
K2 0.2500 0.8150 0.1850
Cl7 0.5065 0.1701 0.6048
Cl8 0.0065 0.6048 0.1701
Cl9 0.6776 0.8152 0.9583
Cl10 0.8224 0.0417 0.1848
Cl11 0.1776 0.9583 0.8152
Cl12 0.9501 0.2574 0.4246

# 21
Computed, not measured: KFe2CuCl6 after structural relaxation at the GGA-PBE level of DFT.

Calculated values
* formation energy without anion corrections: -0.878 eV/atom
* final energy: -83.959 eV/cell
* SG: No. 15
* Fermi-level density of states: 22.58 states/eV/cell

Unit cell a=7.3658 b=9.2918 c=9.2918 alpha=89.62 beta=74.31 gamma=74.31
Positions (direct):
Cl1 0.9499 0.3045 0.4117
Fe1 0.1788 0.3861 0.2351
Cl2 0.5501 0.5883 0.6955
K1 0.2500 0.8795 0.1205
K2 0.7500 0.1205 0.8795
Cl3 0.0484 0.6195 0.1633
Cl4 0.4499 0.4117 0.3045
Cl5 0.1963 0.9638 0.7929
Cl6 0.3037 0.2071 0.0362
Cl7 0.5484 0.1633 0.6195
Fe2 0.8212 0.6139 0.7649
Cl8 0.8037 0.0362 0.2071
Fe3 0.6788 0.2351 0.3861
Fe4 0.3212 0.7649 0.6139
Cu1 0.2500 0.2131 0.7869
Cl9 0.9516 0.3805 0.8367
Cl10 0.6963 0.7929 0.9638
Cl11 0.4516 0.8367 0.3805
Cl12 0.0501 0.6955 0.5883
Cu2 0.7500 0.7869 0.2131

# 22
Computed, not measured: KFeCu2Cl8 after structural relaxation at the GGA-PBE level of DFT.

Calculated values
* formation energy without anion corrections: -0.783 eV/atom
* final energy: -41.924 eV/cell
* SG: No. 2
* Fermi-level density of states: 4.90 states/eV/cell

Unit cell a=5.9684 b=6.7588 c=8.9440 alpha=66.64 beta=84.11 gamma=98.15
Positions (direct):
Cl1 0.4834 0.7063 0.5555
Fe1 0.0000 0.0000 0.0000
Cl2 0.5166 0.2937 0.4445
Cl3 0.8471 0.1749 0.1326
Cl4 0.6585 0.7537 0.0640
Cl5 0.1529 0.8251 0.8674
Cl6 0.1155 0.7500 0.2718
Cu1 0.5419 0.3491 0.6804
Cl7 0.8845 0.2500 0.7282
Cl8 0.3415 0.2463 0.9360
K1 0.0000 0.0000 0.5000
Cu2 0.4581 0.6509 0.3196

# 23
Computed, not measured: KFeCuCl5 after structural relaxation at the GGA-PBE level of DFT.

Calculated values
* formation energy without anion corrections: -1.014 eV/atom
* final energy: -62.007 eV/cell
* SG: No. 15
* Fermi-level density of states: 2.92 states/eV/cell

Unit cell a=7.4553 b=7.4553 c=8.3758 alpha=100.73 beta=100.73 gamma=104.25
Positions (direct):
Cl1 0.9239 0.3184 0.1180
Cl2 0.4184 0.2591 0.0594
Cl3 0.5816 0.7409 0.9406
Cl4 0.3184 0.9239 0.6180
Cu1 0.0000 0.0000 0.0000
Cl5 0.0761 0.6816 0.8820
Cl6 0.6816 0.0761 0.3820
Cl7 0.7409 0.5816 0.4406
K1 0.6578 0.3422 0.7500
Cu2 0.0000 0.0000 0.5000
Cl8 0.0687 0.9313 0.2500
Fe1 0.6887 0.3113 0.2500
Fe2 0.3113 0.6887 0.7500
Cl9 0.2591 0.4184 0.5594
K2 0.3422 0.6578 0.2500
Cl10 0.9313 0.0687 0.7500

# 24
Computed, not measured: LiFe2CuCl8 after structural relaxation at the GGA-PBE level of DFT.

Calculated values
* formation energy without anion corrections: -0.818 eV/atom
* final energy: -47.522 eV/cell
* SG: No. 119

Unit cell a=7.4975 b=7.4975 c=7.4975 alpha=119.97 beta=119.97 gamma=90.05
Positions (direct):
Cl1 0.8667 0.6224 0.2443
Cl2 0.3781 0.6224 0.7557
Cl3 0.8696 0.1300 0.7396
Fe1 0.7500 0.2500 0.5000
Cl4 0.3905 0.1300 0.2604
Cl5 0.8700 0.1304 0.2604
Li1 0.0000 0.0000 0.0000
Fe2 0.5000 0.5000 0.0000
Cl6 0.8700 0.6095 0.7396
Cl7 0.3776 0.1333 0.7557
Cu1 0.2500 0.7500 0.5000
Cl8 0.3776 0.6219 0.2443

# 25
Computed, not measured: LiFeCu2Cl6 after structural relaxation at the GGA-PBE level of DFT.

Calculated values
* formation energy without anion corrections: -0.728 eV/atom
* final energy: -36.931 eV/cell
* SG: No. 146
* Fermi-level density of states: 6.82 states/eV/cell

Unit cell a=6.2264 b=6.2267 c=6.8136 alpha=90.01 beta=117.22 gamma=119.98
Positions (direct):
Cl1 0.5342 0.1240 0.2475
Cu1 0.4815 0.2402 0.7070
Li1 0.9975 0.9980 0.9817
Cu2 0.5118 0.7554 0.2535
Cl2 0.8519 0.7270 0.2474
Cl3 0.1407 0.2682 0.7126
Fe1 0.9965 0.4978 0.4802
Cl4 0.4588 0.8715 0.7127
Cl5 0.8556 0.5864 0.7127
Cl6 0.1372 0.4091 0.2473